# La3PmSm8, relaxed, DFT PBE-GGA
data_La3PmSm8
_chemical_formula_sum 'La6 Pm2 Sm16'
_symmetry_space_group_name_H-M 'I -4 2 m'
_symmetry_Int_Tables_number 121
_symmetry_space_group_name_Hall 'I -4 2'
_cell_length_a 8.8927
_cell_length_b 8.8927
_cell_length_c 11.4803
_cell_angle_alpha 90.00
_cell_angle_beta 90.00
_cell_angle_gamma 90.00
loop_
_atom_site_label
_atom_site_fract_x
_atom_site_fract_y
_atom_site_fract_z
La1 0.0000 0.0000 0.0000
La2 0.0000 0.5000 0.2500
Pm1 0.0000 0.0000 0.5000
Sm1 0.1221 0.1221 0.2507
Sm2 0.2500 0.2500 0.0011
# formation energy from the elements = 0.543 eV/atom
# total magnetization = 0.000 μB per atom
# ρ = 6.46 g/cm3